# 1
This record from the Alexandria database describes crystalline Ac3TbPm2Se6 at its relaxed geometry. The functional is PBE.

```
Ac3TbPm2Se6
1.0
3.688 -6.410 0.000
3.688 6.410 0.000
-2.473 0.000 7.198
Ac Tb Pm Se
3 1 2 6
direct
0.000 0.000 0.000
0.331 0.669 0.000
0.669 0.331 0.000
0.500 0.500 0.500
0.167 0.833 0.500
0.833 0.167 0.500
0.097 0.424 0.273
0.249 0.249 0.730
0.424 0.097 0.273
0.576 0.903 0.727
0.751 0.751 0.270
0.903 0.576 0.727
```

Results
- Calculated total energy: -5.781 eV per atom

# 2
This record from the Alexandria database describes crystalline Ac3Tb3PmSe8 at its relaxed geometry. The functional is PBE.

```
Ac3Tb3PmSe8
1.0
4.208 2.430 7.134
-4.208 2.430 7.134
0.000 -4.859 7.134
Ac Tb Pm Se
3 3 1 8
direct
0.000 0.500 0.500
0.500 0.000 0.500
0.500 0.500 0.000
0.000 0.000 0.500
0.000 0.500 0.000
0.500 0.000 0.000
0.500 0.500 0.500
0.233 0.749 0.749
0.241 0.241 0.241
0.251 0.251 0.767
0.251 0.767 0.251
0.749 0.233 0.749
0.749 0.749 0.233
0.759 0.759 0.759
0.767 0.251 0.251
```

Results
- Calculated total energy: -5.790 eV per atom

# 3
This record from the Alexandria database describes crystalline Ac3TbPm3Se8 at its relaxed geometry. The functional is PBE.

```
Ac3TbPm3Se8
1.0
4.262 2.461 7.174
-4.262 2.461 7.174
0.000 -4.921 7.174
Ac Tb Pm Se
3 1 3 8
direct
0.000 0.500 0.500
0.500 0.000 0.500
0.500 0.500 0.000
0.500 0.500 0.500
0.000 0.000 0.500
0.000 0.500 0.000
0.500 0.000 0.000
0.244 0.244 0.244
0.247 0.742 0.742
0.258 0.258 0.753
0.258 0.753 0.258
0.742 0.247 0.742
0.742 0.742 0.247
0.753 0.258 0.258
0.756 0.756 0.756
```

Results
- Calculated total energy: -5.823 eV per atom

# 4
This record from the Alexandria database describes crystalline AcPmTeSe at its relaxed geometry. The functional is PBE.

```
AcPmTeSe
1.0
2.222 1.283 7.382
-2.222 1.283 7.382
0.000 -2.566 7.382
Ac Pm Te Se
1 1 1 1
direct
0.000 0.000 0.000
0.519 0.519 0.519
0.765 0.765 0.765
0.253 0.253 0.253
```

Results
- Calculated total energy: -5.522 eV per atom

# 5
This record from the Alexandria database describes crystalline AcPmTe2Se at its relaxed geometry. The functional is PBE.

```
AcPmTe2Se
1.0
4.545 0.000 0.000
0.000 4.545 0.000
0.000 0.000 16.126
Ac Pm Te Se
2 2 4 2
direct
0.250 0.250 0.133
0.750 0.750 0.867
0.250 0.250 0.593
0.750 0.750 0.407
0.250 0.250 0.394
0.250 0.250 0.787
0.750 0.750 0.213
0.750 0.750 0.606
0.250 0.750 0.000
0.750 0.250 0.000
```

Results
- Calculated total energy: -5.248 eV per atom

# 6
This record from the Alexandria database describes crystalline AcPmTeSe at its relaxed geometry. The functional is PBE.

```
AcPmTeSe
1.0
0.000 3.865 3.865
3.865 0.000 3.865
3.865 3.865 0.000
Ac Pm Te Se
1 1 1 1
direct
0.000 0.000 0.000
0.500 0.500 0.500
0.750 0.750 0.750
0.250 0.250 0.250
```

Results
- Calculated total energy: -5.312 eV per atom

# 7
This record from the Alexandria database describes crystalline Ac2PmTe2Se2 at its relaxed geometry. The functional is PBE.

```
Ac2PmTe2Se2
1.0
-2.722 2.722 8.393
2.722 -2.722 8.393
2.722 2.722 -8.393
Ac Pm Te Se
2 1 2 2
direct
0.122 0.122 0.000
0.878 0.878 0.000
0.500 0.500 0.000
0.316 0.316 0.000
0.684 0.684 0.000
0.000 0.500 0.500
0.500 0.000 0.500
```

Results
- Calculated total energy: -5.241 eV per atom

# 8
This record from the Alexandria database describes crystalline Ac4Pm3ThSe8 at its relaxed geometry. The functional is PBE.

```
Ac4Pm3ThSe8
1.0
4.310 2.488 7.136
-4.310 2.488 7.136
0.000 -4.977 7.136
Ac Pm Th Se
4 3 1 8
direct
0.000 0.000 0.000
0.000 0.500 0.500
0.500 0.000 0.500
0.500 0.500 0.000
0.000 0.000 0.500
0.000 0.500 0.000
0.500 0.000 0.000
0.500 0.500 0.500
0.244 0.244 0.244
0.244 0.744 0.744
0.256 0.256 0.756
0.256 0.756 0.256
0.744 0.244 0.744
0.744 0.744 0.244
0.756 0.256 0.256
0.756 0.756 0.756
```

Results
- Calculated total energy: -5.924 eV per atom

Among the records above, which one has the highest calculated total energy?
Ac2PmTe2Se2